{
  "formula": "Li2YRuW",
  "functional": "PBE-GGA",
  "state": "relaxed",
  "lattice_angstrom": [[4.351, 0.000, 0.000], [0.000, 4.779, 0.000], [0.000, 0.000, 4.351]],
  "species": ["Y", "Ru", "W", "Li", "Li"],
  "frac_coords": [[0.000, 0.000, 0.000], [0.000, 0.500, 0.000], [0.500, 0.500, 0.500], [0.000, 0.000, 0.500], [0.500, 0.000, 0.000]],
  "e_form_ev_per_atom": 1.80,
  "total_magnetization_mub_per_cell": 0.00
}

---

{
  "formula": "Li3YRu",
  "functional": "PBE-GGA",
  "state": "relaxed",
  "lattice_angstrom": [[-1.170, 3.353, -2.949], [-4.402, -1.379, 0.178], [-0.751, 2.857, 3.547]],
  "species": ["Y", "Ru", "Li", "Li", "Li"],
  "frac_coords": [[0.000, 0.000, 0.000], [0.500, 0.500, 0.500], [0.000, 0.500, 0.000], [0.000, 0.000, 0.500], [0.500, 0.000, 0.000]],
  "de_polymorph_ev_per_atom": 1.152,
  "e_form_ev_per_atom": 1.66,
  "total_magnetization_mub_per_cell": 1.64
}

---

{
  "formula": "Li2YRu",
  "functional": "PBE-GGA",
  "state": "relaxed",
  "lattice_angstrom": [[3.890, 0.000, 0.000], [0.000, 3.890, 0.000], [1.945, 1.945, 10.434]],
  "species": ["Y", "Y", "Ru", "Ru", "Li", "Li", "Li", "Li"],
  "frac_coords": [[0.500, 0.500, 0.000], [0.250, 0.750, 0.500], [0.000, 0.000, 0.000], [0.750, 0.250, 0.500], [0.070, 0.125, 0.250], [0.680, 0.625, 0.250], [0.375, 0.930, 0.750], [0.875, 0.320, 0.750]],
  "de_polymorph_ev_per_atom": 0.182,
  "e_form_ev_per_atom": 0.19,
  "total_magnetization_mub_per_cell": 0.00
}

---

{
  "formula": "Li2YRu",
  "functional": "PBE-GGA",
  "state": "relaxed",
  "lattice_angstrom": [[-1.231, -4.667, -1.617], [3.107, -0.528, -0.841], [1.199, -1.733, 4.090]],
  "species": ["Li", "Li", "Ru", "Y"],
  "frac_coords": [[0.000, 0.040, 0.047], [0.000, 0.460, 0.453], [0.500, 0.250, 0.250], [0.500, 0.750, 0.750]],
  "de_polymorph_ev_per_atom": 0.096,
  "e_form_ev_per_atom": 0.10,
  "total_magnetization_mub_per_cell": 0.27
}

---

{
  "formula": "LiY4Ru2",
  "functional": "PBE-GGA",
  "state": "relaxed",
  "lattice_angstrom": [[4.675, 0.000, 1.461], [2.109, 4.172, 1.461], [-0.029, -0.018, 8.306]],
  "species": ["Li", "Y", "Y", "Y", "Y", "Ru", "Ru"],
  "frac_coords": [[0.000, 0.000, 0.000], [0.871, 0.871, 0.386], [0.129, 0.129, 0.614], [0.621, 0.621, 0.138], [0.379, 0.379, 0.862], [0.747, 0.747, 0.758], [0.253, 0.253, 0.242]],
  "e_form_ev_per_atom": -0.26,
  "total_magnetization_mub_per_cell": 0.00
}

---

{
  "formula": "Li2YRu",
  "functional": "PBE-GGA",
  "state": "relaxed",
  "lattice_angstrom": [[5.714, 0.006, -0.008], [4.718, 3.224, -0.008], [1.710, 0.529, 4.068]],
  "species": ["Li", "Li", "Ru", "Y"],
  "frac_coords": [[0.972, 0.972, 0.029], [0.528, 0.528, 0.471], [0.250, 0.250, 0.250], [0.750, 0.750, 0.750]],
  "de_polymorph_ev_per_atom": 0.000,
  "e_form_ev_per_atom": 0.00,
  "total_magnetization_mub_per_cell": 0.00
}

---

{
  "formula": "Li2YRu",
  "functional": "PBE-GGA",
  "state": "relaxed",
  "lattice_angstrom": [[2.876, 0.000, 0.000], [0.000, 4.453, 0.000], [0.000, 0.000, 5.546]],
  "species": ["Li", "Li", "Ru", "Y"],
  "frac_coords": [[0.000, 0.000, 0.049], [0.000, 0.000, 0.451], [0.500, 0.500, 0.250], [0.500, 0.500, 0.750]],
  "de_polymorph_ev_per_atom": 0.242,
  "e_form_ev_per_atom": 0.25,
  "total_magnetization_mub_per_cell": 0.00
}

---

{
  "formula": "Li2YRu2",
  "functional": "PBE-GGA",
  "state": "relaxed",
  "lattice_angstrom": [[-3.376, 5.223, -2.348], [-4.440, -0.665, 4.903], [1.859, 2.086, 1.967]],
  "species": ["Y", "Y", "Ru", "Ru", "Ru", "Ru", "Li", "Li", "Li", "Li"],
  "frac_coords": [[0.000, 0.000, 0.000], [0.500, 0.500, 0.000], [0.181, 0.681, 0.500], [0.681, 0.819, 0.500], [0.819, 0.319, 0.500], [0.319, 0.181, 0.500], [0.389, 0.889, 0.000], [0.889, 0.611, 0.000], [0.611, 0.111, 0.000], [0.111, 0.389, 0.000]],
  "e_form_ev_per_atom": 0.27,
  "total_magnetization_mub_per_cell": 0.00
}

---

{
  "formula": "Li2YRu",
  "functional": "PBE-GGA",
  "state": "relaxed",
  "lattice_angstrom": [[-0.437, -3.288, 0.658], [1.893, 0.308, 2.785], [-5.655, 1.487, 3.679]],
  "species": ["Li", "Li", "Ru", "Y"],
  "frac_coords": [[0.000, 0.000, 0.068], [0.500, 0.500, 0.274], [0.000, 0.000, 0.470], [0.500, 0.500, 0.687]],
  "de_polymorph_ev_per_atom": 0.026,
  "e_form_ev_per_atom": 0.03,
  "total_magnetization_mub_per_cell": 0.00
}

---

{
  "formula": "Li2YRu",
  "functional": "PBE-GGA",
  "state": "relaxed",
  "lattice_angstrom": [[5.091, 0.030, 0.000], [-2.213, 4.585, 0.000], [0.000, 0.000, 3.063]],
  "species": ["Li", "Li", "Ru", "Y"],
  "frac_coords": [[0.000, 0.000, 0.000], [0.500, 0.500, 0.000], [0.500, 0.000, 0.500], [0.000, 0.500, 0.500]],
  "de_polymorph_ev_per_atom": 0.328,
  "e_form_ev_per_atom": 0.33,
  "total_magnetization_mub_per_cell": 0.70
}

---

{
  "formula": "LiY2Ru4",
  "functional": "PBE-GGA",
  "state": "relaxed",
  "lattice_angstrom": [[-3.098, -2.913, 0.353], [-0.185, -0.318, -4.251], [3.165, -6.707, -1.777]],
  "species": ["Y", "Y", "Ru", "Ru", "Ru", "Ru", "Li"],
  "frac_coords": [[0.641, 0.641, 0.717], [0.359, 0.359, 0.283], [0.846, 0.846, 0.309], [0.154, 0.154, 0.691], [0.000, 0.500, 0.000], [0.500, 0.000, 0.000], [0.000, 0.000, 0.000]],
  "e_form_ev_per_atom": 0.52,
  "total_magnetization_mub_per_cell": 0.00
}

---

{
  "formula": "Li2YRu",
  "functional": "PBE-GGA",
  "state": "relaxed",
  "lattice_angstrom": [[10.241, -0.018, -0.010], [9.825, 2.888, -0.010], [9.825, 1.405, 2.523]],
  "species": ["Li", "Li", "Ru", "Y"],
  "frac_coords": [[0.986, 0.986, 0.986], [0.514, 0.514, 0.514], [0.250, 0.250, 0.250], [0.750, 0.750, 0.750]],
  "de_polymorph_ev_per_atom": 0.480,
  "e_form_ev_per_atom": 0.48,
  "total_magnetization_mub_per_cell": 0.32
}